This record from Alexandria via LeMat-Bulk describes an optimized crystal structure of BePAu2. The functional is PBE.

Polymorph energy (0 for the lowest one) = 0.0 meV/atom
DFT total energy = -3.827 eV per atom
SG = Immm, No. 71

a b c (Å): 6.376 6.376 6.376
angles (deg): 153.04 148.19 42.17
Sites, in units of the cell vectors:
1 Be 0.000 0.000 0.000
2 P 0.500 0.500 0.000
3 Au 0.173 0.673 0.500
4 Au 0.827 0.327 0.500